(1)
The following is a DFT calculation (PBE) of a relaxed Tb6Dy3Y2Mg crystal.

The magnetic moment is 0.0 μB per formula unit. As for the volume: 748.9 Å³ per cell. The energy of formation comes out at 0.30 eV per formula unit.

The structure belongs to space group C2/m (No. 12); the cell edges are 6.1276, 10.6184 and 11.6923 Å and the angles 90.00°, 100.11° and 90.00°. The distinct sites, in fractional coordinates, are Tb at (0.2488, 0.1662, 0.2492), Tb at (0.2498, 0.0000, 0.7497), Dy at (0.0000, 0.1662, 0.5000), Dy at (0.0000, 0.5000, 0.5000), Y at (0.0000, 0.3336, 0.0000) and Mg at (0.0000, 0.0000, 0.0000).



(2)
The following is a DFT calculation (PBE) of a relaxed TbDy2Y2Mg crystal.

The magnetic moment is 0.0 μB per formula unit. As for the volume: 438.0 Å³ per cell. The energy of formation comes out at 2.90 eV per formula unit.

The structure belongs to space group Pnnm (No. 58); the cell edges are 10.3915, 11.6786 and 3.6089 Å and the angles 90.00°, 90.00° and 90.00°. The distinct sites, in fractional coordinates, are Tb at (0.0000, 0.0000, 0.0000), Dy at (0.0851, 0.2256, 0.5000), Y at (0.2477, 0.4293, 0.0000) and Mg at (0.0000, 0.5000, 0.5000).